Material: CsSrCdBr5
Method: DFT, PBE
State: relaxed

Results
Formation energy from raw total energies (kJ/mol of formula units): -1215.6
Fermi-level density of states (states/eV per atom): 0.0000
Total moment (μB per formula unit): 0.0
Raw total energy (eV/atom): -3.05

Cell: 8.474 8.474 11.025 Å, 104.16 104.16 106.27°
Atoms (fractional coordinates):
Cs 0.345 0.655 0.250
Cs 0.655 0.345 0.750
Cd 0.314 0.686 0.750
Cd 0.686 0.314 0.250
Br 0.903 0.322 0.113
Br 0.918 0.082 0.750
Br 0.082 0.918 0.250
Br 0.617 0.752 0.934
Br 0.752 0.617 0.434
Br 0.383 0.248 0.066
Br 0.248 0.383 0.566
Br 0.322 0.903 0.613
Br 0.678 0.097 0.387
Br 0.097 0.678 0.887
Sr 0.000 0.000 0.500
Sr 0.000 0.000 0.000

=====

Material: Ac2TiGe3Pt4
Method: DFT, PBE
State: relaxed

Results
Fermi-level density of states (states/eV per atom): 0.6338
Total moment (μB per formula unit): 0.0
Raw total energy (eV/atom): -6.35
E_form (eV/atom): -0.93

Cell: 4.473 4.473 10.355 Å, 90.00 90.00 90.00°
Atoms (fractional coordinates):
Ti 0.500 0.500 0.500
Ge 0.500 0.000 0.874
Ge 0.000 0.500 0.126
Ge 0.000 0.000 0.500
Pt 0.000 0.500 0.370
Pt 0.500 0.000 0.630
Pt 0.000 0.000 0.000
Pt 0.500 0.500 0.000
Ac 0.000 0.500 0.754
Ac 0.500 0.000 0.246

=====

Material: Re3PbN
Method: DFT, PBE
State: relaxed

Results
Formation energy from raw total energies (kJ/mol of formula units): 409.0
Fermi-level density of states (states/eV per atom): 0.9099
Total moment (μB per formula unit): 1.2
Raw total energy (eV/atom): -9.03

Cell: 4.198 4.198 4.198 Å, 90.00 90.00 90.00°
Last column: magnetic moment on the atom in μB.
Atoms (fractional coordinates):
Re 0.500 0.000 0.000  0.34
Re 0.000 0.500 0.000  0.39
Re 0.000 0.000 0.500  0.42
N 0.000 0.000 0.000  -0.02
Pb 0.500 0.500 0.500  -0.01

=====

Q: Number 3 is which compound?
A: Re3PbN